DFT (GGA-PBE) results for a relaxed SrCe3Sm2Se6 crystal.

Unit cell a=4.209 b=8.514 c=9.480 alpha=103.43 beta=102.83 gamma=90.00
Each line ends with the local moment (μB).
Sites, in units of the cell vectors:
Sr 0.500 0.000 0.000  0.01
Se 0.003 0.256 0.005  -0.01
Se 0.332 0.913 0.663  -0.01
Se 0.997 0.744 0.995  -0.01
Se 0.666 0.581 0.332  -0.01
Se 0.334 0.419 0.668  -0.01
Se 0.668 0.087 0.337  -0.01
Ce 0.166 0.830 0.332  0.95
Ce 0.500 0.500 0.000  0.93
Ce 0.834 0.170 0.668  0.95
Sm 0.170 0.339 0.340  0.00
Sm 0.830 0.661 0.660  0.00

Values from the calculation:
Uncorrected energy (eV per formula unit): -71.8
ρ (g/cm³): 6.619
Space group: C2/m (12)
Crystal system: monoclinic
V (Å³/atom): 26.81
ΔE_f (raw) (kJ/mol of atoms): -177

=====

DFT (GGA-PBE) results for a relaxed Ni2WBr crystal.

Unit cell a=2.847 b=2.847 c=7.579 alpha=90.00 beta=90.00 gamma=90.01
Sites, in units of the cell vectors:
Ni 0.000 0.000 0.472
Ni 0.000 0.000 0.028
Br 0.500 0.500 0.750
W 0.500 0.500 0.250

Values from the calculation:
Offset from the most stable computed form (meV/atom): 82
Uncorrected energy (eV per formula unit): -24.4
ρ (g/cm³): 10.306
Space group: P4/mmm (123)
Crystal system: tetragonal
V (Å³/atom): 15.35
ΔE_f (raw) (kJ/mol of atoms): 42

=====

DFT (GGA-PBE) results for a relaxed TlAsSe2 crystal.

Unit cell a=7.735 b=7.735 c=4.332 alpha=79.52 beta=79.52 gamma=26.85
Sites, in units of the cell vectors:
As 0.700 0.700 0.853
Tl 0.457 0.457 0.545
Se 0.274 0.274 0.148
Se 0.068 0.068 0.955

Values from the calculation:
Uncorrected energy (eV per formula unit): -14.4
ρ (g/cm³): 6.313
Space group: Cm (8)
Crystal system: monoclinic
V (Å³/atom): 28.75
ΔE_f (raw) (kJ/mol of atoms): -9